[1]
Compound: Np2SiB2Ru5
Source: Alexandria
Functional: GGA-PBE
Structure: optimized geometry

## Properties
Its space group is P4/mbm, No. 127. The raw total energy is -0.34984 hartree per atom.

abc: 9.5752 9.5752 3.0282
angles: 90.00 90.00 90.00
Last column: nearest neighbours and their distance in Å.
Sites, in units of the cell vectors:
Np 0.1768 0.3232 0.0000  3 B 2.71-2.92, 10 Ru 2.83-2.98, 2 Np 3.03
Np 0.3232 0.8232 0.0000  3 B 2.71-2.92, 10 Ru 2.83-2.98, 2 Np 3.03
Np 0.6768 0.1768 0.0000  3 B 2.71-2.92, 10 Ru 2.83-2.98, 2 Np 3.03
Np 0.8232 0.6768 0.0000  3 B 2.71-2.92, 10 Ru 2.83-2.98, 2 Np 3.03
Si 0.0000 0.0000 0.0000  8 Ru 2.62
Si 0.5000 0.5000 0.0000  8 Ru 2.62
B 0.1234 0.6234 0.0000  6 Ru 2.25
B 0.3766 0.1234 0.0000  6 Ru 2.25
B 0.6234 0.8766 0.0000  6 Ru 2.25
B 0.8766 0.3766 0.0000  6 Ru 2.25
Ru 0.0000 0.5000 0.5000  4 B 2.25
Ru 0.0676 0.7876 0.5000  2 B 2.25
Ru 0.2124 0.0676 0.5000  2 B 2.25
Ru 0.2876 0.5676 0.5000  2 B 2.25
Ru 0.4324 0.2876 0.5000  2 B 2.25
Ru 0.5000 0.0000 0.5000  4 B 2.25
Ru 0.5676 0.7124 0.5000  2 B 2.25
Ru 0.7124 0.4324 0.5000  2 B 2.25
Ru 0.7876 0.9324 0.5000  2 B 2.25
Ru 0.9324 0.2124 0.5000  2 B 2.25


[2]
Compound: Np2TaB2Ru5
Source: Alexandria
Functional: GGA-PBE
Structure: optimized geometry

## Properties
Its space group is P4/mbm, No. 127. The formation energy is -345 meV per atom.

abc: 9.7768 9.7768 3.0668
angles: 90.00 90.00 90.00
Last column: nearest neighbours and their distance in Å.
Sites, in units of the cell vectors:
Np 0.1779 0.3221 0.0000  3 B 2.80-2.96, 10 Ru 2.90-3.03, 2 Np 3.07
Np 0.3221 0.8221 0.0000  3 B 2.80-2.96, 10 Ru 2.90-3.03, 2 Np 3.07
Np 0.6779 0.1779 0.0000  3 B 2.80-2.96, 10 Ru 2.90-3.03, 2 Np 3.07
Np 0.8221 0.6779 0.0000  3 B 2.80-2.96, 10 Ru 2.90-3.03, 2 Np 3.07
Ta 0.0000 0.0000 0.0000  8 Ru 2.73
Ta 0.5000 0.5000 0.0000  8 Ru 2.73
B 0.1196 0.6196 0.0000  6 Ru 2.24-2.26
B 0.3804 0.1196 0.0000  6 Ru 2.24-2.26
B 0.6196 0.8804 0.0000  6 Ru 2.24-2.26
B 0.8804 0.3804 0.0000  6 Ru 2.24-2.26
Ru 0.0000 0.5000 0.5000  4 B 2.26
Ru 0.0696 0.7792 0.5000  2 B 2.24
Ru 0.2208 0.0696 0.5000  2 B 2.24
Ru 0.2792 0.5696 0.5000  2 B 2.24
Ru 0.4304 0.2792 0.5000  2 B 2.24
Ru 0.5000 0.0000 0.5000  4 B 2.26
Ru 0.5696 0.7208 0.5000  2 B 2.24
Ru 0.7208 0.4304 0.5000  2 B 2.24
Ru 0.7792 0.9304 0.5000  2 B 2.24
Ru 0.9304 0.2208 0.5000  2 B 2.24


[3]
Compound: NpBS3
Source: Alexandria
Functional: GGA-PBE
Structure: optimized geometry

## Properties
Its space group is Imma, No. 74. The raw total energy is -0.25730 hartree per atom.

abc: 6.7594 6.7594 6.7594
angles: 117.47 114.43 97.18
Last column: nearest neighbours and their distance in Å.
Sites, in units of the cell vectors:
Np 0.0000 0.0000 0.0000  6 S 2.79-2.84
Np 0.5000 0.0000 0.5000  6 S 2.79-2.84
B 0.3054 0.5554 0.7500  3 S 1.80-1.85
B 0.6946 0.4446 0.2500  3 S 1.80-1.85
S 0.1829 0.2206 0.5377  1 B 1.85
S 0.1829 0.6452 0.9623  1 B 1.85
S 0.4934 0.2434 0.2500  1 B 1.80
S 0.5066 0.7566 0.7500  1 B 1.80
S 0.8171 0.3548 0.0377  1 B 1.85
S 0.8171 0.7794 0.4623  1 B 1.85


[4]
Compound: Np2BS4
Source: Alexandria
Functional: GGA-PBE
Structure: optimized geometry

## Properties
Its space group is C2/m, No. 12. The raw total energy is -0.27928 hartree per atom.

abc: 6.6186 6.6186 6.9617
angles: 121.12 121.12 35.35
Last column: nearest neighbours and their distance in Å.
Sites, in units of the cell vectors:
Np 0.2472 0.2472 0.2498  6 S 2.65-2.75, 1 B 2.68
Np 0.7528 0.7528 0.7502  6 S 2.65-2.75, 1 B 2.68
B 0.5000 0.5000 0.5000  6 S 2.56-2.64, 2 Np 2.68
S 0.1224 0.1224 0.7814  2 B 2.64, 3 Np 2.68-2.75
S 0.3802 0.3802 0.7022  1 B 2.56, 3 Np 2.65-2.70
S 0.6198 0.6198 0.2978  1 B 2.56, 3 Np 2.65-2.70
S 0.8776 0.8776 0.2186  2 B 2.64, 3 Np 2.68-2.75


[5]
Compound: Np3BS6
Source: Alexandria
Functional: GGA-PBE
Structure: optimized geometry

## Properties
Its space group is Cmc2_1, No. 36. The raw total energy is -0.29856 hartree per atom.

abc: 8.3513 8.3513 6.3066
angles: 90.00 90.00 102.01
Last column: nearest neighbours and their distance in Å.
Sites, in units of the cell vectors:
Np 0.1080 0.8920 0.5000  6 S 2.71-2.83
Np 0.2209 0.4202 0.4290  7 S 2.65-2.92
Np 0.4202 0.2209 0.9290  7 S 2.65-2.92
Np 0.5798 0.7791 0.4290  7 S 2.65-2.92
Np 0.7791 0.5798 0.9290  7 S 2.65-2.92
Np 0.8920 0.1080 0.0000  6 S 2.71-2.83
B 0.3035 0.6965 0.8773  4 S 1.94-1.97
B 0.6965 0.3035 0.3773  4 S 1.94-1.97
S 0.0940 0.6057 0.7452  1 B 1.94
S 0.1358 0.1829 0.7112  4 Np 2.65-2.74
S 0.1829 0.1358 0.2112  4 Np 2.65-2.74
S 0.2896 0.7104 0.1868  1 B 1.96
S 0.3943 0.9060 0.7452  1 B 1.94
S 0.4463 0.5537 0.7698  1 B 1.97
S 0.5537 0.4463 0.2698  1 B 1.97
S 0.6057 0.0940 0.2452  1 B 1.94
S 0.7104 0.2896 0.6868  1 B 1.96
S 0.8171 0.8642 0.7112  4 Np 2.65-2.74
S 0.8642 0.8171 0.2112  4 Np 2.65-2.74
S 0.9060 0.3943 0.2452  1 B 1.94


[6]
Compound: NpB2S4
Source: Alexandria
Functional: GGA-PBE
Structure: optimized geometry

## Properties
Its space group is I4/m, No. 87. The raw total energy is -0.23986 hartree per atom.

abc: 5.6244 5.6244 5.6244
angles: 101.53 101.53 126.88
Last column: nearest neighbours and their distance in Å.
Sites, in units of the cell vectors:
Np 0.0000 0.0000 0.0000  4 S 2.93
B 0.2500 0.7500 0.5000  4 S 1.94
B 0.7500 0.2500 0.5000  4 S 1.94
S 0.1663 0.3768 0.5431  2 B 1.94
S 0.3768 0.8337 0.2106  2 B 1.94
S 0.6232 0.1663 0.7894  2 B 1.94
S 0.8337 0.6232 0.4569  2 B 1.94


no.,Fermi-level density of states (states/eV/f.u.),calculated volume (Å³/atom)
1,12.38,13.88
2,13.86,14.66
3,6.79,22.96
4,16.34,21.17
5,25.24,21.51
6,7.83,18.19